Record 1
Computed, not measured: a geometry-optimized BaGaSn4 structure at the PBE-GGA level of DFT.

Unit cell a=5.7552 b=17.3613 c=7.3970 alpha=90.00 beta=90.00 gamma=90.00
Closest atoms and distances in Å follow each position.
Space group Cmcm (No. 63)
Inequivalent atoms, fractional coordinates:
Ba 0.0000 0.0993 0.2500  9 Sn 3.46-3.83
Ga 0.0000 0.3693 0.2500  6 Sn 2.89-2.93
Sn 0.0000 0.1002 0.7500  2 Ga 2.93, 2 Sn 3.20
Sn 0.0000 0.2640 0.5519  1 Ga 2.89, 4 Sn 2.93-3.20
Sn 0.0000 0.5000 0.0000  2 Ga 2.93

Calculated values
Formation energy, eV per atom: -0.18
Relative energy among the computed polymorphs, meV/atom: 25

---

Record 2
Computed, not measured: a geometry-optimized Tb4Bi2PbSe structure at the PBE-GGA level of DFT.

Unit cell a=7.6175 b=4.3841 c=7.6341 alpha=90.00 beta=109.31 gamma=90.00
Closest atoms and distances in Å follow each position.
Space group P2/m (No. 10)
Inequivalent atoms, fractional coordinates:
Tb 0.2450 0.0000 0.2396  2 Se 3.06, 1 Pb 3.08, 3 Bi 3.14-3.16
Tb 0.2479 0.5000 0.7584  1 Se 3.05, 2 Pb 3.09, 3 Bi 3.13-3.18
Bi 0.0000 0.0000 0.5000  6 Tb 3.13-3.14
Bi 0.5000 0.5000 0.5000  6 Tb 3.16-3.18
Pb 0.5000 0.0000 0.0000  6 Tb 3.08-3.09
Se 0.0000 0.5000 0.0000  6 Tb 3.05-3.06

Calculated values
Energy relative to the elements, uncorrected, eV per atom: -0.9920

---

Number 1: electronic total energy -3.6730 eV/atom. Number 2: electronic total energy -5.1765 eV/atom.